[1]
The following is a GGA-PBE calculation of an optimized crystal structure of LaBW3, from Alexandria via LeMat-Bulk.

E above lowest polymorph = 3245 meV per atom
formation enthalpy at 0 K = 3891 meV per atom
size of the total moment = 0.000 Bohr magnetons per cell
DOS(E_F) = 7.0 states/eV per cell
SG = Pm-3m, No. 221
electronic total energy = -6.202 eV/atom

a b c (Å): 4.852 4.852 4.852
angles (deg): 90.00 90.00 90.00
Sites, in units of the cell vectors:
W: 0.000 0.000 0.500
W: 0.500 0.000 0.000
W: 0.000 0.500 0.000
B: 0.500 0.500 0.500
La: 0.000 0.000 0.000

---

[2]
The following is a GGA-PBE calculation of an optimized crystal structure of LaBW3, from Alexandria via LeMat-Bulk.

E above lowest polymorph = 0 meV per atom
formation enthalpy at 0 K = 646 meV per atom
size of the total moment = 0.000 Bohr magnetons per cell
DOS(E_F) = 5.7 states/eV per cell
SG = Pm-3m, No. 221
electronic total energy = -9.447 eV/atom

a b c (Å): 4.445 4.445 4.445
angles (deg): 90.00 90.00 90.00
Sites, in units of the cell vectors:
La: 0.500 0.500 0.500
B: 0.000 0.000 0.000
W: 0.500 0.000 0.000
W: 0.000 0.000 0.500
W: 0.000 0.500 0.000

---

[3]
The following is a GGA-PBE calculation of an optimized crystal structure of LaB3W, from Alexandria via LeMat-Bulk.

E above lowest polymorph = 0 meV per atom
formation enthalpy at 0 K = 152 meV per atom
size of the total moment = 0.000 Bohr magnetons per cell
DOS(E_F) = 2.5 states/eV per cell
SG = Pm-3m, No. 221
electronic total energy = -7.431 eV/atom

a b c (Å): 4.271 4.271 4.271
angles (deg): 90.00 90.00 90.00
Sites, in units of the cell vectors:
B: 0.000 0.000 0.500
B: 0.000 0.500 0.000
B: 0.500 0.000 0.000
La: 0.500 0.500 0.500
W: 0.000 0.000 0.000

---

[4]
The following is a GGA-PBE calculation of an optimized crystal structure of LaB3W, from Alexandria via LeMat-Bulk.

E above lowest polymorph = 2709 meV per atom
formation enthalpy at 0 K = 2861 meV per atom
size of the total moment = 1.441 Bohr magnetons per cell
DOS(E_F) = 4.8 states/eV per cell
SG = Pm-3m, No. 221
electronic total energy = -4.722 eV/atom

a b c (Å): 4.302 4.302 4.302
angles (deg): 90.00 90.00 90.00
Each line ends with the local moment (μB).
Sites, in units of the cell vectors:
B: 0.500 0.000 0.000  0.00
B: 0.000 0.000 0.500  0.06
B: 0.000 0.500 0.000  0.04
La: 0.000 0.000 0.000  0.01
W: 0.500 0.500 0.500  -1.30

---

[5]
The following is a GGA-PBE calculation of an optimized crystal structure of LaBW, from Alexandria via LeMat-Bulk.

formation enthalpy at 0 K = -55 meV per atom
size of the total moment = 0.000 Bohr magnetons per cell
DOS(E_F) = 4.4 states/eV per cell
SG = P4/nmm, No. 129
electronic total energy = -8.241 eV/atom

a b c (Å): 3.697 3.697 9.468
angles (deg): 90.00 90.00 90.00
Sites, in units of the cell vectors:
La: 0.500 0.000 0.202
La: 0.000 0.500 0.798
W: 0.000 0.000 0.500
W: 0.500 0.500 0.500
B: 0.500 0.000 0.657
B: 0.000 0.500 0.343

---

[6]
The following is a GGA-PBE calculation of an optimized crystal structure of La3BW, from Alexandria via LeMat-Bulk.

E above lowest polymorph = 0 meV per atom
formation enthalpy at 0 K = 867 meV per atom
size of the total moment = 0.003 Bohr magnetons per cell
DOS(E_F) = 11.8 states/eV per cell
SG = Pm-3m, No. 221
electronic total energy = -6.016 eV/atom

a b c (Å): 5.173 5.173 5.173
angles (deg): 90.00 90.00 90.00
Sites, in units of the cell vectors:
W: 0.500 0.500 0.500
La: 0.000 0.000 0.500
La: 0.000 0.500 0.000
La: 0.500 0.000 0.000
B: 0.000 0.000 0.000

---

[7]
The following is a GGA-PBE calculation of an optimized crystal structure of LaB2W, from Alexandria via LeMat-Bulk.

E above lowest polymorph = 0 meV per atom
formation enthalpy at 0 K = 483 meV per atom
size of the total moment = 0.000 Bohr magnetons per cell
DOS(E_F) = 4.8 states/eV per cell
SG = I-42d, No. 122
electronic total energy = -7.325 eV/atom

a b c (Å): 5.456 5.456 6.601
angles (deg): 65.59 65.59 90.00
Sites, in units of the cell vectors:
W: 0.750 0.250 0.500
W: 0.000 0.000 0.000
B: 0.024 0.625 0.250
B: 0.375 0.274 0.750
B: 0.726 0.125 0.250
B: 0.875 0.976 0.750
La: 0.500 0.500 0.000
La: 0.250 0.750 0.500

---

[8]
The following is a GGA-PBE calculation of an optimized crystal structure of LaB2W, from Alexandria via LeMat-Bulk.

E above lowest polymorph = 473 meV per atom
formation enthalpy at 0 K = 957 meV per atom
size of the total moment = 0.000 Bohr magnetons per cell
DOS(E_F) = 4.9 states/eV per cell
SG = Fm-3m, No. 225
electronic total energy = -6.852 eV/atom

a b c (Å): 4.382 4.382 4.382
angles (deg): 60.00 60.00 60.00
Sites, in units of the cell vectors:
B: 0.750 0.750 0.750
B: 0.250 0.250 0.250
W: 0.500 0.500 0.500
La: 0.000 0.000 0.000